Record 1
This record from the Alexandria database describes GaNi4Pt7 after structural relaxation. The functional is PBE.

Cell: 10.740 4.594 8.982 Å, 90.00 122.59 90.00°
Space group C2/m (No. 12)
Symmetry-distinct sites (fractional):
Ga: 0.000 0.000 0.000
Ni: 0.070 0.500 0.772
Ni: 0.216 0.500 0.327
Pt: 0.000 0.500 0.000
Pt: 0.074 0.000 0.338
Pt: 0.140 0.500 0.552
Pt: 0.213 0.000 0.906

Results
ΔE_f: 0.0961 eV per atom

***

Record 2
This record from the Alexandria database describes Ho3ErTh after structural relaxation. The functional is PBE.

Cell: 5.498 10.859 6.351 Å, 90.00 115.50 90.00°
Space group P2_1/m (No. 11)
Symmetry-distinct sites (fractional):
Ho: 0.156 0.012 0.308
Ho: 0.324 0.250 0.703
Er: 0.047 0.750 0.035
Th: 0.348 0.750 0.667

Results
ΔE_f: 0.4040 eV per atom

***

Record 3
This record from the Alexandria database describes HfAg2Se after structural relaxation. The functional is PBE.

Cell: 7.865 7.865 5.329 Å, 90.00 90.00 90.00°
Space group I-42d (No. 122)
Symmetry-distinct sites (fractional):
Hf: 0.000 0.000 0.000
Ag: 0.232 0.750 0.625
Se: 0.000 0.000 0.500

Results
uncorrected formation energy: -0.27 eV per formula unit

***

Record 4
This record from the Alexandria database describes K2ScPa2Se6 after structural relaxation. The functional is PBE.

Cell: 7.105 12.145 8.284 Å, 90.00 106.34 90.00°
Space group C2/m (No. 12)
Symmetry-distinct sites (fractional):
K: 0.000 0.169 0.000
Sc: 0.000 0.000 0.500
Pa: 0.000 0.337 0.500
Se: 0.229 0.162 0.700
Se: 0.249 0.500 0.704

Results
uncorrected formation energy: -16.00 eV per formula unit

***

Record 5
This record from the Alexandria database describes Tb7NdHo2 after structural relaxation. The functional is PBE.

Cell: 6.172 7.127 7.968 Å, 77.08 75.03 73.29°
Space group P-1 (No. 2)
Symmetry-distinct sites (fractional):
Tb: 0.000 0.000 0.000
Tb: 0.200 0.801 0.599
Tb: 0.400 0.600 0.201
Tb: 0.401 0.099 0.202
Nd: 0.000 0.500 0.000
Ho: 0.200 0.300 0.599

Results
ΔE_f: 0.0163 eV per atom

***

Record 6
This record from the Alexandria database describes LaYErTe3 after structural relaxation. The functional is PBE.

Cell: 8.597 4.336 10.864 Å, 90.00 106.50 90.00°
Space group P2_1/m (No. 11)
Symmetry-distinct sites (fractional):
La: 0.185 0.250 0.220
Y: 0.153 0.250 0.623
Er: 0.337 0.750 0.905
Te: 0.094 0.250 0.896
Te: 0.228 0.750 0.454
Te: 0.480 0.750 0.198

Results
uncorrected formation energy: -7.74 eV per formula unit

***

Record 7
This record from the Alexandria database describes PaGa2Bi after structural relaxation. The functional is PBE.

Cell: 4.528 4.528 4.438 Å, 90.00 90.00 90.00°
Space group P4/mmm (No. 123)
Symmetry-distinct sites (fractional):
Pa: 0.000 0.000 0.000
Ga: 0.000 0.500 0.500
Bi: 0.500 0.500 0.000

Results
ΔE_f: -0.2583 eV per atom

***

Record 8
This record from the Alexandria database describes Hg2SbF6 after structural relaxation. The functional is PBE.

Cell: 6.280 6.280 17.040 Å, 90.00 90.00 90.00°
Space group I4_1/amd (No. 141, origin choice 2)
Symmetry-distinct sites (fractional):
Hg: 0.000 0.000 0.000
Sb: 0.000 0.250 0.375
F: 0.000 0.250 0.263
F: 0.217 0.033 0.375

Results
uncorrected formation energy: -16.31 eV per formula unit

***

Record 9
This record from the Alexandria database describes CaW3Cl after structural relaxation. The functional is PBE.

Cell: 4.536 4.536 4.536 Å, 90.00 90.00 90.00°
Space group Pm-3m (No. 221)
Symmetry-distinct sites (fractional):
Ca: 0.000 0.000 0.000
W: 0.000 0.500 0.500
Cl: 0.500 0.500 0.500

Results
uncorrected formation energy: 7.12 eV per formula unit

***

Record 10
This record from the Alexandria database describes TlAsBr2 after structural relaxation. The functional is PBE.

Cell: 4.319 4.319 14.248 Å, 90.00 90.00 90.00°
Space group I-4m2 (No. 119)
Symmetry-distinct sites (fractional):
Tl: 0.000 0.000 0.000
As: 0.000 0.500 0.750
Br: 0.000 0.000 0.500
Br: 0.000 0.500 0.250

Results
uncorrected formation energy: 0.11 eV per formula unit

***

Record 11
This record from the Alexandria database describes HgAsIr3 after structural relaxation. The functional is PBE.

Cell: 4.591 4.591 4.591 Å, 90.00 90.00 90.00°
Space group Pm-3m (No. 221)
Symmetry-distinct sites (fractional):
Hg: 0.000 0.000 0.000
As: 0.500 0.500 0.500
Ir: 0.000 0.500 0.500

Results
ΔE_f: 0.9906 eV per atom

***

Record 12
This record from the Alexandria database describes Tm3AgPt2 after structural relaxation. The functional is PBE.

Cell: 4.929 14.660 3.521 Å, 90.00 90.00 90.00°
Space group Cmmm (No. 65)
Symmetry-distinct sites (fractional):
Tm: 0.000 0.000 0.000
Tm: 0.000 0.327 0.000
Ag: 0.000 0.500 0.500
Pt: 0.000 0.162 0.500

Results
ΔE_f: -0.9821 eV per atom

***

Record 13
This record from the Alexandria database describes NaPuBO5 after structural relaxation. The functional is PBE.

Cell: 6.732 8.578 7.688 Å, 90.00 115.88 90.00°
Space group C2/c (No. 15)
Symmetry-distinct sites (fractional):
Na: 0.000 0.153 0.250
Pu: 0.000 0.500 0.000
B: 0.000 0.186 0.750
O: 0.000 0.412 0.250
O: 0.091 0.286 0.642
O: 0.176 0.081 0.887

Results
uncorrected formation energy: -18.33 eV per formula unit

***

Record 14
This record from the Alexandria database describes TlNiS after structural relaxation. The functional is PBE.

Cell: 3.142 3.142 12.465 Å, 90.00 90.00 90.00°
Space group I4mm (No. 107)
Symmetry-distinct sites (fractional):
Tl: 0.000 0.000 0.000
Ni: 0.000 0.000 0.293
S: 0.000 0.000 0.748

Results
uncorrected formation energy: -0.27 eV per formula unit

***

Record 15
This record from the Alexandria database describes La2Pm5Y after structural relaxation. The functional is PBE.

Cell: 5.746 12.061 16.439 Å, 90.00 90.00 90.00°
Space group Cmcm (No. 63)
Symmetry-distinct sites (fractional):
La: 0.000 0.220 0.129
Pm: 0.000 0.077 0.591
Pm: 0.000 0.383 0.551
Pm: 0.000 0.463 0.250
Y: 0.000 0.258 0.750

Results
ΔE_f: 0.1277 eV per atom